# YZn2Si, optimized geometry, DFT PBE-GGA
# **Total moment**: 0.01 μB/f.u.
# **E_tot**: -59.566 eV per cell
data_YZn2Si
_space_group_name_H-M_alt 'F -4 3 m'
_space_group_IT_number 216
_space_group_name_Hall 'F -4 2 3'
_cell_length_a 6.673
_cell_length_b 6.673
_cell_length_c 6.673
_cell_angle_alpha 90.00
_cell_angle_beta 90.00
_cell_angle_gamma 90.00
loop_
_atom_site_label
_atom_site_type_symbol
_atom_site_fract_x
_atom_site_fract_y
_atom_site_fract_z
Y1 Y 0.000 0.000 0.000
Zn1 Zn 0.000 0.000 0.500
Zn2 Zn 0.250 0.250 0.250
Si1 Si 0.250 0.250 0.750

---

# Sc3SiTc2, optimized geometry, DFT PBE-GGA
# **Total moment**: 0.01 μB/f.u.
# **E_tot**: -47.504 eV per cell
data_Sc3SiTc2
_space_group_name_H-M_alt 'P 4 m m'
_space_group_IT_number 99
_space_group_name_Hall 'P 4 -2'
_cell_length_a 3.279
_cell_length_b 3.279
_cell_length_c 9.999
_cell_angle_alpha 90.00
_cell_angle_beta 90.00
_cell_angle_gamma 90.00
loop_
_atom_site_label
_atom_site_type_symbol
_atom_site_fract_x
_atom_site_fract_y
_atom_site_fract_z
Sc1 Sc 0.000 0.000 0.000
Sc2 Sc 0.000 0.000 0.300
Sc3 Sc 0.500 0.500 0.751
Si1 Si 0.500 0.500 0.471
Tc1 Tc 0.000 0.000 0.584
Tc2 Tc 0.500 0.500 0.149